# ZnNi4H

A relaxed ZnNi4H crystal (GGA-PBE, the Alexandria database).

Output
* calculated total energy: -4.648 eV per atom
* M_tot: 0.73 μB/f.u.
* energy above the lowest structure with this stoichiometry: 0.062 eV/atom
* DOS(E_F): 14.401 states/eV/cell
* volume: 10.0 Å³/atom

Cell lengths 6.5682, 6.5682, 4.1958 Å; angles 108.59, 108.59, 44.98 degrees
Positions (direct):
Zn  0.1911  0.1911  0.1904
Zn  0.8089  0.8089  0.8096
Ni  0.1338  0.6388  0.3847
Ni  0.2434  0.7566  0.0000
Ni  0.3091  0.3091  0.8103
Ni  0.3612  0.8662  0.6153
Ni  0.6388  0.1338  0.3847
Ni  0.6909  0.6909  0.1897
Ni  0.7566  0.2434  0.0000
Ni  0.8662  0.3612  0.6153
H  0.4372  0.4372  0.6981
H  0.5628  0.5628  0.3019